DFT (PBE) results for a relaxed structure of La3Dy2Y.

```
La3Dy2Y
1.0
3.600 0.000 0.000
0.000 9.758 1.312
0.000 -0.619 11.737
Dy Y La
4 2 6
Direct
0.250 0.433 0.855
0.750 0.077 0.381
0.250 0.923 0.619
0.750 0.567 0.145
0.250 0.760 0.357
0.750 0.240 0.643
0.250 0.251 0.136
0.750 0.928 0.118
0.250 0.072 0.882
0.750 0.600 0.605
0.250 0.400 0.395
0.750 0.749 0.864
```

Properties
Mass density, g/cm³: 6.6
Density of states at the Fermi level, states/eV/f.u.: 9.50
ΔH_f (0 K), eV per atom: 0.0788
E_tot, Ha/atom: -0.1836
Polymorph energy (0 for the lowest one), meV per atom: 61.4